PBE Co2SiAu2, optimized geometry; magnetization = 0.162 μB/atom; D(E_F) = 3.99 states/eV/f.u.; symmetry = P4/mbm; calculated total energy = -5.21 eV/atom
1.0
5.791 0.000 0.000
0.000 5.791 0.000
0.000 0.000 4.283
Co Si Au
4 2 4
direct
0.361 0.861 0.000 Co
0.861 0.639 0.000 Co
0.639 0.139 0.000 Co
0.139 0.361 0.000 Co
0.000 0.000 0.000 Si
0.500 0.500 0.000 Si
0.173 0.673 0.500 Au
0.673 0.827 0.500 Au
0.827 0.327 0.500 Au
0.327 0.173 0.500 Au

PBE CoSiAu2, optimized geometry; magnetization = 0.293 μB/atom; D(E_F) = 4.19 states/eV/f.u.; symmetry = I-4m2; calculated total energy = -4.54 eV/atom
1.0
4.834 -0.040 0.000
1.709 4.522 0.000
-3.271 -2.241 2.765
Au Co Si
2 1 1
direct
0.000 0.000 0.000 Au
0.250 0.750 0.500 Au
0.500 0.500 0.000 Co
0.750 0.250 0.500 Si

PBE CoSiAu2, optimized geometry; magnetization = 0.000 μB/atom; D(E_F) = 3.05 states/eV/f.u.; symmetry = Imm2; calculated total energy = -4.68 eV/atom
1.0
-3.430 3.264 -1.859
0.117 0.694 -5.038
-0.554 -3.532 3.619
Au Co Si
2 1 1
direct
0.032 0.032 0.000 Au
0.744 0.244 0.500 Au
0.452 0.452 0.000 Co
0.272 0.772 0.500 Si

PBE CoSiAu2, optimized geometry; magnetization = 0.228 μB/atom; D(E_F) = 3.48 states/eV/f.u.; symmetry = C2/m; calculated total energy = -4.50 eV/atom
1.0
5.446 -0.025 0.021
-2.742 4.706 0.021
0.761 1.317 2.462
Au Co Si
2 1 1
direct
0.000 0.000 0.000 Au
0.500 0.500 0.000 Au
0.500 0.000 0.500 Co
0.000 0.500 0.500 Si

PBE Y2CoSiAu, optimized geometry; magnetization = 0.254 μB/atom; D(E_F) = 4.72 states/eV/f.u.; symmetry = P4/mmm; calculated total energy = -5.48 eV/atom
1.0
-5.146 -0.907 -1.198
0.560 -4.412 0.935
-1.349 0.911 5.107
Y Co Si Au
2 1 1 1
direct
0.000 0.000 0.500 Y
0.500 0.000 0.000 Y
0.500 0.500 0.500 Co
0.000 0.000 0.000 Si
0.000 0.500 0.000 Au

PBE SmCoAu, optimized geometry; E_form = -1.26 eV per formula unit; magnetization = 0.249 μB/atom; D(E_F) = 2.22 states/eV/f.u.; symmetry = Cmcm; calculated total energy = -5.46 eV/atom
1.0
3.883 0.000 0.000
0.000 3.867 0.000
0.000 1.934 8.122
Co Au Sm
2 2 2
direct
0.750 0.467 0.066 Co
0.250 0.533 0.934 Co
0.750 0.300 0.400 Au
0.250 0.700 0.600 Au
0.750 0.106 0.788 Sm
0.250 0.894 0.212 Sm

PBE SmCo4Au, optimized geometry; E_form = -0.52 eV per formula unit; magnetization = 0.953 μB/atom; D(E_F) = 6.96 states/eV/f.u.; symmetry = F-43m; calculated total energy = -6.16 eV/atom
1.0
5.007 0.000 0.000
2.504 4.337 0.000
2.504 1.446 4.089
Co Au Sm
4 1 1
direct
0.626 0.626 0.122 Co
0.626 0.122 0.626 Co
0.626 0.626 0.626 Co
0.122 0.626 0.626 Co
0.000 0.000 0.000 Au
0.250 0.250 0.250 Sm

PBE Sm8Co2Au, optimized geometry; E_form = -1.08 eV per formula unit; magnetization = 0.000 μB/atom; D(E_F) = 13.36 states/eV/f.u.; symmetry = C2/m; calculated total energy = -5.12 eV/atom
1.0
-2.148 4.596 -2.640
3.479 -3.416 -6.142
-6.713 -3.288 2.371
Sm Co Au
8 2 1
direct
0.929 0.917 0.661 Sm
0.929 0.661 0.917 Sm
0.316 0.619 0.619 Sm
0.500 0.767 0.233 Sm
0.500 0.233 0.767 Sm
0.684 0.381 0.381 Sm
0.071 0.339 0.083 Sm
0.071 0.083 0.339 Sm
0.000 0.290 0.710 Co
0.000 0.710 0.290 Co
0.500 0.000 0.000 Au

PBE Sm4Co2Au, optimized geometry; E_form = -1.61 eV per formula unit; magnetization = 0.000 μB/atom; D(E_F) = 6.27 states/eV/f.u.; symmetry = C2/m; calculated total energy = -5.43 eV/atom
1.0
4.035 0.000 -0.761
-0.483 6.798 -2.562
-0.693 -1.591 7.401
Au Co Sm
1 2 4
direct
0.000 0.000 0.000 Au
0.219 0.213 0.439 Co
0.781 0.787 0.561 Co
0.151 0.509 0.302 Sm
0.849 0.491 0.698 Sm
0.374 0.092 0.747 Sm
0.626 0.908 0.253 Sm

PBE Sm8CoAu2, optimized geometry; E_form = -3.21 eV per formula unit; magnetization = 0.000 μB/atom; E above lowest polymorph = 0.0 meV/atom; D(E_F) = 11.31 states/eV/f.u.; symmetry = C2/m; calculated total energy = -4.97 eV/atom
1.0
-1.189 4.136 2.813
-6.425 -0.078 -2.603
-0.369 -7.168 5.687
Sm Co Au
8 1 2
direct
0.413 0.559 0.825 Sm
0.655 0.969 0.310 Sm
0.796 0.680 0.592 Sm
0.974 0.216 0.947 Sm
0.204 0.320 0.408 Sm
0.345 0.031 0.690 Sm
0.587 0.441 0.175 Sm
0.026 0.784 0.053 Sm
0.500 0.000 0.000 Co
0.807 0.263 0.613 Au
0.193 0.737 0.387 Au

PBE Sm2CoAu, optimized geometry; E_form = -1.59 eV per formula unit; magnetization = 0.230 μB/atom; D(E_F) = 3.13 states/eV/f.u.; symmetry = P4/mmm; calculated total energy = -5.35 eV/atom
1.0
3.512 0.000 0.000
0.000 3.512 0.000
0.000 0.000 7.309
Co Au Sm
1 1 2
direct
0.500 0.500 0.000 Co
0.500 0.500 0.500 Au
0.000 0.000 0.769 Sm
0.000 0.000 0.231 Sm

PBE Sm6Co2Au, optimized geometry; E_form = -2.32 eV per formula unit; magnetization = 0.000 μB/atom; D(E_F) = 9.22 states/eV/f.u.; symmetry = Immm; calculated total energy = -5.35 eV/atom
1.0
-2.734 -0.161 -7.989
-3.288 -6.258 4.621
-2.377 7.291 3.537
Sm Co Au
12 4 2
direct
0.538 0.717 0.821 Sm
0.462 0.283 0.179 Sm
0.103 0.283 0.821 Sm
0.897 0.717 0.179 Sm
0.804 0.767 0.570 Sm
0.196 0.233 0.430 Sm
0.196 0.767 0.963 Sm
0.804 0.233 0.037 Sm
0.688 0.362 0.673 Sm
0.312 0.638 0.327 Sm
0.312 0.985 0.673 Sm
0.688 0.015 0.327 Sm
0.500 0.386 0.886 Co
0.500 0.614 0.114 Co
0.657 0.000 0.657 Co
0.343 0.000 0.343 Co
0.000 0.500 0.500 Au
0.000 0.000 0.000 Au

PBE Sm8CoAu2, optimized geometry; E_form = -2.18 eV per formula unit; magnetization = 0.000 μB/atom; E above lowest polymorph = 94.4 meV/atom; D(E_F) = 15.08 states/eV/f.u.; symmetry = Cm; calculated total energy = -4.87 eV/atom
1.0
-3.083 4.953 -2.027
-4.573 -6.205 -2.061
0.173 0.839 7.933
Sm Co Au
8 1 2
direct
0.618 0.364 0.107 Sm
0.618 0.107 0.364 Sm
0.205 0.375 0.375 Sm
0.953 0.143 0.863 Sm
0.953 0.863 0.143 Sm
0.777 0.643 0.643 Sm
0.302 0.902 0.625 Sm
0.302 0.625 0.902 Sm
0.241 0.977 0.977 Co
0.516 0.714 0.322 Au
0.516 0.322 0.714 Au

PBE SmThCoAu, optimized geometry; E_form = -1.21 eV per formula unit; magnetization = 0.000 μB/atom; D(E_F) = 3.85 states/eV/f.u.; symmetry = F-43m; calculated total energy = -5.93 eV/atom
1.0
5.076 0.000 0.000
2.538 4.396 0.000
2.538 1.465 4.145
Co Au Sm Th
1 1 1 1
direct
0.500 0.500 0.500 Co
0.000 0.000 0.000 Au
0.250 0.250 0.250 Sm
0.750 0.750 0.750 Th

PBE SmTmCoAu, optimized geometry; E_form = -1.64 eV per formula unit; magnetization = 0.139 μB/atom; D(E_F) = 3.10 states/eV/f.u.; symmetry = F-43m; calculated total energy = -5.30 eV/atom
1.0
-1.994 -1.730 4.194
-4.198 -2.629 -0.153
0.084 -4.860 0.963
Co Tm Au Sm
1 1 1 1
direct
0.500 0.500 0.500 Co
0.750 0.750 0.750 Tm
0.000 0.000 0.000 Au
0.250 0.250 0.250 Sm

PBE CoSnAu2, optimized geometry; E_form = 0.98 eV per formula unit; magnetization = 0.228 μB/atom; D(E_F) = 4.22 states/eV/f.u.; symmetry = I-42d; calculated total energy = -4.17 eV/atom
1.0
-1.599 1.487 3.190
2.897 -1.432 2.120
5.786 8.432 1.312
Co Au Sn
2 4 2
direct
0.500 0.500 0.000 Co
0.250 0.750 0.500 Co
0.618 0.125 0.250 Au
0.132 0.625 0.250 Au
0.375 0.382 0.750 Au
0.875 0.868 0.750 Au
0.000 0.000 0.000 Sn
0.750 0.250 0.500 Sn

PBE CoSn2Au, optimized geometry; E_form = 1.82 eV per formula unit; magnetization = 0.385 μB/atom; E above lowest polymorph = 230.6 meV/atom; D(E_F) = 3.46 states/eV/f.u.; symmetry = R-3m; calculated total energy = -4.14 eV/atom
1.0
3.332 0.000 0.000
1.666 2.885 0.000
1.666 0.962 9.265
Co Au Sn
1 1 2
direct
0.000 0.000 0.000 Co
0.500 0.500 0.500 Au
0.089 0.089 0.733 Sn
0.911 0.911 0.267 Sn

PBE Co2SnAu, optimized geometry; E_form = 1.84 eV per formula unit; magnetization = 0.781 μB/atom; D(E_F) = 5.16 states/eV/f.u.; symmetry = I-42d; calculated total energy = -4.91 eV/atom
1.0
3.930 0.000 0.000
0.000 3.930 0.000
1.965 1.965 9.223
Co Au Sn
4 2 2
direct
0.703 0.125 0.250 Co
0.047 0.625 0.250 Co
0.375 0.297 0.750 Co
0.875 0.953 0.750 Co
0.000 0.000 0.000 Au
0.750 0.250 0.500 Au
0.500 0.500 0.000 Sn
0.250 0.750 0.500 Sn

PBE CoSn2Au, optimized geometry; E_form = 1.07 eV per formula unit; magnetization = 0.067 μB/atom; E above lowest polymorph = 41.6 meV/atom; D(E_F) = 3.32 states/eV/f.u.; symmetry = Fm-3m; calculated total energy = -4.33 eV/atom
1.0
0.000 3.384 3.384
3.384 0.000 3.384
3.384 3.384 0.000
Co Au Sn
1 1 2
direct
0.000 0.000 0.000 Co
0.500 0.500 0.500 Au
0.250 0.250 0.250 Sn
0.750 0.750 0.750 Sn

PBE CoSn2Au2, optimized geometry; E_form = 1.22 eV per formula unit; magnetization = 0.333 μB/atom; D(E_F) = 6.26 states/eV/f.u.; symmetry = P4/mbm; calculated total energy = -4.09 eV/atom
1.0
7.079 0.000 0.000
0.000 7.079 0.000
0.000 0.000 4.142
Co Au Sn
2 4 4
direct
0.000 0.000 0.000 Co
0.500 0.500 0.000 Co
0.356 0.856 0.000 Au
0.856 0.644 0.000 Au
0.644 0.144 0.000 Au
0.144 0.356 0.000 Au
0.170 0.670 0.500 Sn
0.670 0.830 0.500 Sn
0.830 0.330 0.500 Sn
0.330 0.170 0.500 Sn